1.
Computed, not measured: Cu2AgP2 after structural relaxation at the PBE level of DFT.

The space group is I4/mmm (No. 139) and the conventional cell measures 4.024, 4.024 and 9.372 Å, with angles of 90.00, 90.00 and 90.00 degrees. Symmetry generates all atoms from Cu at (0.000, 0.500, 0.250), Ag at (0.000, 0.000, 0.000) and P at (0.000, 0.000, 0.384).

The value obtained for the relative energy among the computed polymorphs is 0 meV/atom. For the formation energy, the calculation gives 41.2 kJ/mol of formula units.

2.
Computed, not measured: CdBi2Au2 after structural relaxation at the PBE level of DFT.

The space group is P4/mbm (No. 127) and the conventional cell measures 8.392, 8.392 and 3.713 Å, with angles of 90.00, 90.00 and 90.00 degrees. Symmetry generates all atoms from Cd at (0.000, 0.000, 0.000), Bi at (0.184, 0.316, 0.000) and Au at (0.119, 0.619, 0.500).

The value obtained for the relative energy among the computed polymorphs is 131 meV/atom. For the formation energy, the calculation gives 40.5 kJ/mol of formula units.

3.
Computed, not measured: LiCeSeCl after structural relaxation at the PBE level of DFT.

The space group is R-3m (No. 166, hexagonal axes) and the conventional cell measures 4.1082, 4.1082 and 41.7080 Å, with angles of 90.00, 90.00 and 120.00 degrees. Symmetry generates all atoms from Li at (0.0000, 0.0000, 0.1884), Ce at (0.0000, 0.0000, 0.4130), Se at (0.0000, 0.0000, 0.1249) and Cl at (0.0000, 0.0000, 0.2932).

The formation energy (no corrections) comes out at -1.599 eV per atom.

4.
Computed, not measured: BaCdRh after structural relaxation at the PBE level of DFT.

The space group is Imma (No. 74) and the conventional cell measures 6.160, 6.555 and 7.446 Å, with angles of 90.00, 90.00 and 90.00 degrees. Symmetry generates all atoms from Ba at (0.000, 0.250, 0.092), Cd at (0.000, 0.000, 0.500) and Rh at (0.250, 0.250, 0.750).

For the formation energy, the calculation gives -66.4 kJ/mol of formula units.

5.
Computed, not measured: Si2BiAs after structural relaxation at the PBE level of DFT.

The space group is I-42d (No. 122) and the conventional cell measures 6.709, 6.709 and 9.079 Å, with angles of 90.00, 90.00 and 90.00 degrees. Symmetry generates all atoms from Si at (0.204, 0.750, 0.125), Bi at (0.000, 0.000, 0.500) and As at (0.000, 0.000, 0.000).

The value obtained for the relative energy among the computed polymorphs is 0 meV/atom. The formation energy (no corrections) comes out at 0.419 eV per atom.

6.
Computed, not measured: Er2Mn2Se2S3 after structural relaxation at the PBE level of DFT.

The space group is I4/mmm (No. 139) and the conventional cell measures 4.639, 4.639 and 17.935 Å, with angles of 90.00, 90.00 and 90.00 degrees. Symmetry generates all atoms from Er at (0.000, 0.000, 0.175), Mn at (0.000, 0.500, 0.000), Se at (0.000, 0.000, 0.404), S at (0.000, 0.000, 0.000) and S at (0.000, 0.500, 0.250).

The formation energy (no corrections) comes out at -1.049 eV per atom.

7.
Computed, not measured: YCd2RuN after structural relaxation at the PBE level of DFT.

The space group is P4/mmm (No. 123) and the conventional cell measures 4.495, 4.495 and 4.619 Å, with angles of 90.00, 90.00 and 90.00 degrees. Symmetry generates all atoms from Y at (0.000, 0.000, 0.000), Cd at (0.000, 0.500, 0.500), Ru at (0.500, 0.500, 0.000) and N at (0.000, 0.000, 0.500).

The formation energy (no corrections) comes out at 0.206 eV per atom.

8.
Computed, not measured: BaRePb4 after structural relaxation at the PBE level of DFT.

The space group is F-43m (No. 216) and the conventional cell measures 9.207, 9.207 and 9.207 Å, with angles of 90.00, 90.00 and 90.00 degrees. Symmetry generates all atoms from Ba at (0.000, 0.000, 0.000), Re at (0.250, 0.250, 0.250) and Pb at (0.124, 0.124, 0.624).

For the formation energy, the calculation gives 431.1 kJ/mol of formula units.

9.
Computed, not measured: AlAs2Au after structural relaxation at the PBE level of DFT.

The space group is F-43m (No. 216) and the conventional cell measures 6.657, 6.657 and 6.657 Å, with angles of 90.00, 90.00 and 90.00 degrees. Symmetry generates all atoms from Al at (0.000, 0.000, 0.000), As at (0.000, 0.000, 0.500), As at (0.250, 0.250, 0.250) and Au at (0.250, 0.250, 0.750).

For the formation energy, the calculation gives 97.8 kJ/mol of formula units.

10.
Computed, not measured: TaCd2Mo after structural relaxation at the PBE level of DFT.

The space group is P4mm (No. 99) and the conventional cell measures 3.390, 3.390 and 6.768 Å, with angles of 90.00, 90.00 and 90.00 degrees. Symmetry generates all atoms from Ta at (0.000, 0.000, 0.000), Cd at (0.000, 0.000, 0.551), Cd at (0.500, 0.500, 0.287) and Mo at (0.500, 0.500, 0.830).

The value obtained for the relative energy among the computed polymorphs is 56 meV/atom. For the formation energy, the calculation gives 90.7 kJ/mol of formula units.

11.
Computed, not measured: PrNd4Ni after structural relaxation at the PBE level of DFT.

The space group is C2/m (No. 12) and the conventional cell measures 17.911, 7.450 and 6.119 Å, with angles of 90.00, 109.97 and 90.00 degrees. Symmetry generates all atoms from Pr at (0.197, 0.000, 0.198), Nd at (0.000, 0.232, 0.000), Nd at (0.116, 0.250, 0.617), Nd at (0.177, 0.500, 0.177) and Ni at (0.000, 0.500, 0.304).

For the formation energy, the calculation gives -26.8 kJ/mol of formula units.

12.
Computed, not measured: VFe2Os after structural relaxation at the PBE level of DFT.

The space group is P4/mmm (No. 123) and the conventional cell measures 3.635, 3.635 and 3.721 Å, with angles of 90.00, 90.00 and 90.00 degrees. Symmetry generates all atoms from V at (0.000, 0.000, 0.000), Fe at (0.000, 0.500, 0.500) and Os at (0.500, 0.500, 0.000).

For the formation energy, the calculation gives -21.6 kJ/mol of formula units.

13.
Computed, not measured: KCu4Br7 after structural relaxation at the PBE level of DFT.

The space group is Pmn2_1 (No. 31) and the conventional cell measures 16.168, 6.719 and 6.615 Å, with angles of 90.00, 90.00 and 90.00 degrees. Symmetry generates all atoms from K at (0.000, 0.133, 0.000), Cu at (0.122, 0.667, 0.696), Cu at (0.249, 0.828, 0.184), Br at (0.000, 0.832, 0.566), Br at (0.120, 0.322, 0.600), Br at (0.120, 0.705, 0.061) and Br at (0.245, 0.828, 0.557).

The formation energy (no corrections) comes out at -0.552 eV per atom.

14.
Computed, not measured: PmSi2SbO8 after structural relaxation at the PBE level of DFT.

The space group is I-4m2 (No. 119) and the conventional cell measures 6.932, 6.932 and 6.030 Å, with angles of 90.00, 90.00 and 90.00 degrees. Symmetry generates all atoms from Pm at (0.000, 0.000, 0.000), Si at (0.000, 0.000, 0.500), Si at (0.000, 0.500, 0.750), Sb at (0.000, 0.500, 0.250), O at (0.000, 0.189, 0.332) and O at (0.000, 0.330, 0.942).

The formation energy (no corrections) comes out at -2.352 eV per atom.

15.
Computed, not measured: Tc2MoOs after structural relaxation at the PBE level of DFT.

The space group is Imm2 (No. 44) and the conventional cell measures 3.088, 4.412 and 8.853 Å, with angles of 90.00, 90.00 and 90.00 degrees. Symmetry generates all atoms from Tc at (0.000, 0.000, 0.000), Tc at (0.000, 0.500, 0.237), Mo at (0.000, 0.500, 0.729) and Os at (0.000, 0.000, 0.466).

The value obtained for the relative energy among the computed polymorphs is 192 meV/atom. For the formation energy, the calculation gives 98.9 kJ/mol of formula units.

16.
Computed, not measured: K2TiMn after structural relaxation at the PBE level of DFT.

The space group is I-42d (No. 122) and the conventional cell measures 12.585, 12.585 and 4.490 Å, with angles of 90.00, 90.00 and 90.00 degrees. Symmetry generates all atoms from K at (0.094, 0.250, 0.125), Ti at (0.000, 0.000, 0.500) and Mn at (0.000, 0.000, 0.000).

The value obtained for the relative energy among the computed polymorphs is 0 meV/atom. For the formation energy, the calculation gives 417.9 kJ/mol of formula units.

17.
Computed, not measured: Y2ErS2 after structural relaxation at the PBE level of DFT.

The space group is Immm (No. 71) and the conventional cell measures 3.857, 5.452 and 11.490 Å, with angles of 90.00, 90.00 and 90.00 degrees. Symmetry generates all atoms from Y at (0.000, 0.000, 0.169), Er at (0.000, 0.000, 0.500) and S at (0.000, 0.500, 0.165).

The formation energy (no corrections) comes out at -1.560 eV per atom.

18.
Computed, not measured: RbPSe2Br after structural relaxation at the PBE level of DFT.

The space group is P4/mmm (No. 123) and the conventional cell measures 4.905, 4.905 and 5.777 Å, with angles of 90.00, 90.00 and 90.00 degrees. Symmetry generates all atoms from Rb at (0.000, 0.000, 0.000), P at (0.500, 0.500, 0.500), Se at (0.000, 0.500, 0.500) and Br at (0.500, 0.500, 0.000).

The value obtained for the relative energy among the computed polymorphs is 0 meV/atom. The formation energy (no corrections) comes out at -0.338 eV per atom.

19.
Computed, not measured: NdPaTlSn after structural relaxation at the PBE level of DFT.

The space group is F-43m (No. 216) and the conventional cell measures 7.673, 7.673 and 7.673 Å, with angles of 90.00, 90.00 and 90.00 degrees. Symmetry generates all atoms from Nd at (0.000, 0.000, 0.000), Pa at (0.000, 0.000, 0.500), Tl at (0.250, 0.250, 0.750) and Sn at (0.250, 0.250, 0.250).

For the formation energy, the calculation gives -45.8 kJ/mol of formula units.

20.
Computed, not measured: Cs2SiAgSe4 after structural relaxation at the PBE level of DFT.

The space group is Fddd (No. 70, origin choice 2) and the conventional cell measures 6.628, 14.570 and 23.739 Å, with angles of 90.00, 90.00 and 90.00 degrees. Symmetry generates all atoms from Cs at (0.125, 0.125, 0.305), Si at (0.125, 0.125, 0.625), Ag at (0.125, 0.125, 0.125) and Se at (0.085, 0.285, 0.821).

The formation energy (no corrections) comes out at -0.728 eV per atom.